[1]
# Rb2Ce2Se5 (GGA-PBE, optimized geometry)
# Uncorrected formation energy   -1.530 eV/atom
# ρ   5101 kg/m³
data_Rb2Ce2Se5
_symmetry_space_group_name_H-M 'C m c e'
_symmetry_Int_Tables_number 64
_symmetry_space_group_name_Hall '-C 2ac 2'
_cell_length_a 16.8167
_cell_length_b 8.0889
_cell_length_c 8.0984
_cell_angle_alpha 90.00
_cell_angle_beta 90.00
_cell_angle_gamma 90.00
loop_
_atom_site_label
_atom_site_type_symbol
_atom_site_fract_x
_atom_site_fract_y
_atom_site_fract_z
Rb1 Rb 0.2053 0.0000 0.0000
Ce1 Ce 0.0000 0.1638 0.3362
Se1 Se 0.0000 0.0000 0.0000
Se2 Se 0.1091 0.1434 0.6434

=====

[2]
# YEr3Tm12 (GGA-PBE, optimized geometry)
# DFT formation energy   0.03 eV per atom
# ρ   8995 kg/m³
data_YEr3Tm12
_symmetry_space_group_name_H-M 'P 4/m m m'
_symmetry_Int_Tables_number 123
_symmetry_space_group_name_Hall '-P 4 2'
_cell_length_a 4.9437
_cell_length_b 4.9437
_cell_length_c 19.7744
_cell_angle_alpha 90.00
_cell_angle_beta 90.00
_cell_angle_gamma 90.00
loop_
_atom_site_label
_atom_site_type_symbol
_atom_site_fract_x
_atom_site_fract_y
_atom_site_fract_z
Y1 Y 0.0000 0.0000 0.0000
Er1 Er 0.0000 0.0000 0.2506
Er2 Er 0.0000 0.0000 0.5000
Tm1 Tm 0.0000 0.5000 0.1260
Tm2 Tm 0.0000 0.5000 0.3753
Tm3 Tm 0.5000 0.5000 0.0000
Tm4 Tm 0.5000 0.5000 0.2506
Tm5 Tm 0.5000 0.5000 0.5000

=====

[3]
# Zr2BeOsN (GGA-PBE, optimized geometry)
# Uncorrected formation energy   -0.789 eV/atom
# ρ   9237 kg/m³
data_Zr2BeOsN
_symmetry_space_group_name_H-M 'P 4/m m m'
_symmetry_Int_Tables_number 123
_symmetry_space_group_name_Hall '-P 4 2'
_cell_length_a 4.6191
_cell_length_b 4.6191
_cell_length_c 3.3339
_cell_angle_alpha 90.00
_cell_angle_beta 90.00
_cell_angle_gamma 90.00
loop_
_atom_site_label
_atom_site_type_symbol
_atom_site_fract_x
_atom_site_fract_y
_atom_site_fract_z
Zr1 Zr 0.0000 0.5000 0.0000
Be1 Be 0.0000 0.0000 0.5000
Os1 Os 0.5000 0.5000 0.5000
N1 N 0.0000 0.0000 0.0000

=====

[4]
# LiOsRh (GGA-PBE, optimized geometry)
# Polymorph energy (0 for the lowest one)   19 meV/atom
# DFT formation energy   0.01 eV per atom
# ρ   12073 kg/m³
data_LiOsRh
_symmetry_space_group_name_H-M 'P 1 21/m 1'
_symmetry_Int_Tables_number 11
_symmetry_space_group_name_Hall '-P 2yb'
_cell_length_a 4.5367
_cell_length_b 2.7161
_cell_length_c 6.8154
_cell_angle_alpha 90.00
_cell_angle_beta 100.60
_cell_angle_gamma 90.00
loop_
_atom_site_label
_atom_site_type_symbol
_atom_site_fract_x
_atom_site_fract_y
_atom_site_fract_z
Li1 Li 0.0056 0.2500 0.3376
Os1 Os 0.2504 0.2500 0.0157
Rh1 Rh 0.4868 0.2500 0.6660

=====

[5]
# CuIr2Cl2 (GGA-PBE, optimized geometry)
# Uncorrected formation energy   0.476 eV/atom
# ρ   9251 kg/m³
data_CuIr2Cl2
_symmetry_space_group_name_H-M 'P 4/m b m'
_symmetry_Int_Tables_number 127
_symmetry_space_group_name_Hall '-P 4 2ab'
_cell_length_a 6.4591
_cell_length_b 6.4591
_cell_length_c 4.4648
_cell_angle_alpha 90.00
_cell_angle_beta 90.00
_cell_angle_gamma 90.00
loop_
_atom_site_label
_atom_site_type_symbol
_atom_site_fract_x
_atom_site_fract_y
_atom_site_fract_z
Cu1 Cu 0.0000 0.0000 0.0000
Ir1 Ir 0.1342 0.3658 0.0000
Cl1 Cl 0.1999 0.3001 0.5000

=====

[6]
# Na2CdF (GGA-PBE, optimized geometry)
# Polymorph energy (0 for the lowest one)   75 meV/atom
# Uncorrected formation energy   -1.263 eV/atom
# ρ   3933 kg/m³
data_Na2CdF
_symmetry_space_group_name_H-M 'P 4/m m m'
_symmetry_Int_Tables_number 123
_symmetry_space_group_name_Hall '-P 4 2'
_cell_length_a 3.0409
_cell_length_b 3.0409
_cell_length_c 8.1003
_cell_angle_alpha 90.00
_cell_angle_beta 90.00
_cell_angle_gamma 90.00
loop_
_atom_site_label
_atom_site_type_symbol
_atom_site_fract_x
_atom_site_fract_y
_atom_site_fract_z
Na1 Na 0.0000 0.0000 0.1734
Cd1 Cd 0.5000 0.5000 0.5000
F1 F 0.5000 0.5000 0.0000

=====

[7]
# Nd2Al12Cu7 (GGA-PBE, optimized geometry)
# DFT formation energy   -0.30 eV per atom
# ρ   5024 kg/m³
data_Nd2Al12Cu7
_symmetry_space_group_name_H-M 'P -3'
_symmetry_Int_Tables_number 147
_symmetry_space_group_name_Hall '-P 3'
_cell_length_a 10.0501
_cell_length_b 10.0501
_cell_length_c 3.9945
_cell_angle_alpha 90.00
_cell_angle_beta 90.00
_cell_angle_gamma 120.00
loop_
_atom_site_label
_atom_site_type_symbol
_atom_site_fract_x
_atom_site_fract_y
_atom_site_fract_z
Nd1 Nd 0.3333 0.6667 0.2597
Al1 Al 0.0514 0.4337 0.7515
Al2 Al 0.1172 0.2650 0.2546
Cu1 Cu 0.0000 0.0000 0.5000
Cu2 Cu 0.1160 0.7084 0.7557

=====

[8]
# SrLa2TcO8 (GGA-PBE, optimized geometry)
# Uncorrected formation energy   -2.334 eV/atom
# ρ   5924 kg/m³
data_SrLa2TcO8
_symmetry_space_group_name_H-M 'P -1'
_symmetry_Int_Tables_number 2
_symmetry_space_group_name_Hall '-P 1'
_cell_length_a 4.4965
_cell_length_b 5.3234
_cell_length_c 7.2338
_cell_angle_alpha 90.02
_cell_angle_beta 106.77
_cell_angle_gamma 90.04
loop_
_atom_site_label
_atom_site_type_symbol
_atom_site_fract_x
_atom_site_fract_y
_atom_site_fract_z
Sr1 Sr 0.0000 0.0000 0.0000
La1 La 0.3790 0.4996 0.7110
Tc1 Tc 0.0000 0.0000 0.5000
O1 O 0.1888 0.7440 0.3905
O2 O 0.1903 0.2526 0.3890
O3 O 0.2266 0.5001 0.9965
O4 O 0.3362 0.0009 0.7408

=====

[9]
# YPu3Ge4 (GGA-PBE, optimized geometry)
# DFT formation energy   -0.35 eV per atom
# ρ   9270 kg/m³
data_YPu3Ge4
_symmetry_space_group_name_H-M 'I m m m'
_symmetry_Int_Tables_number 71
_symmetry_space_group_name_Hall '-I 2 2'
_cell_length_a 3.7320
_cell_length_b 6.5560
_cell_length_c 16.2754
_cell_angle_alpha 90.00
_cell_angle_beta 90.00
_cell_angle_gamma 90.00
loop_
_atom_site_label
_atom_site_type_symbol
_atom_site_fract_x
_atom_site_fract_y
_atom_site_fract_z
Y1 Y 0.0000 0.0000 0.0000
Pu1 Pu 0.0000 0.0000 0.5000
Pu2 Pu 0.0000 0.5000 0.2976
Ge1 Ge 0.0000 0.3065 0.1289

=====

[10]
# Y2Be4Si3Tc (GGA-PBE, optimized geometry)
# Uncorrected formation energy   -0.392 eV/atom
# ρ   4540 kg/m³
data_Y2Be4Si3Tc
_symmetry_space_group_name_H-M 'P -4 m 2'
_symmetry_Int_Tables_number 115
_symmetry_space_group_name_Hall 'P -4 -2'
_cell_length_a 3.7938
_cell_length_b 3.7938
_cell_length_c 10.0673
_cell_angle_alpha 90.00
_cell_angle_beta 90.00
_cell_angle_gamma 90.00
loop_
_atom_site_label
_atom_site_type_symbol
_atom_site_fract_x
_atom_site_fract_y
_atom_site_fract_z
Y1 Y 0.0000 0.5000 0.2422
Be1 Be 0.0000 0.0000 0.0000
Be2 Be 0.0000 0.5000 0.6405
Be3 Be 0.5000 0.5000 0.0000
Si1 Si 0.0000 0.5000 0.8696
Si2 Si 0.5000 0.5000 0.5000
Tc1 Tc 0.0000 0.0000 0.5000

=====

[11]
# Ho2ScAu4 (GGA-PBE, optimized geometry)
# Polymorph energy (0 for the lowest one)   0 meV/atom
# DFT formation energy   -0.72 eV per atom
# ρ   11608 kg/m³
data_Ho2ScAu4
_symmetry_space_group_name_H-M 'R -3 m'
_symmetry_Int_Tables_number 166
_symmetry_space_group_name_Hall '-R 3 2"'
_cell_length_a 4.8638
_cell_length_b 4.8638
_cell_length_c 24.3555
_cell_angle_alpha 90.00
_cell_angle_beta 90.00
_cell_angle_gamma 120.00
loop_
_atom_site_label
_atom_site_type_symbol
_atom_site_fract_x
_atom_site_fract_y
_atom_site_fract_z
Ho1 Ho 0.0000 0.0000 0.2424
Sc1 Sc 0.0000 0.0000 0.0000
Au1 Au 0.0000 0.0000 0.1197
Au2 Au 0.0000 0.0000 0.3629

=====

[12]
# LiAu (GGA-PBE, optimized geometry)
# DFT formation energy   -0.31 eV per atom
# ρ   9476 kg/m³
data_LiAu
_symmetry_space_group_name_H-M 'P 42/m n m'
_symmetry_Int_Tables_number 136
_symmetry_space_group_name_Hall '-P 4n 2n'
_cell_length_a 5.2104
_cell_length_b 5.2104
_cell_length_c 5.2645
_cell_angle_alpha 90.00
_cell_angle_beta 90.00
_cell_angle_gamma 90.00
loop_
_atom_site_label
_atom_site_type_symbol
_atom_site_fract_x
_atom_site_fract_y
_atom_site_fract_z
Li1 Li 0.1959 0.1959 0.0000
Au1 Au 0.1938 0.1938 0.5000